Ga5Ni4Ir: optimized geometry, PBE-GGA.

The density of states at the Fermi level is 4.13 states/eV/f.u. As for the space group: P4/mmm. The total energy is -0.3734 Ry/atom. For the formation enthalpy at 0 K, the calculation gives -0.368 eV per atom. Its volume is 12.81 Å³/atom.

The structure in POSCAR format:
```
Ga5Ni4Ir
1.0
-1.298 -0.816 2.517
-0.884 -2.509 -1.269
12.480 -6.575 4.305
Ga Ni Ir
5 4 1
direct
0.500 0.500 0.110 Ga
0.500 0.500 0.306 Ga
0.500 0.500 0.500 Ga
0.500 0.500 0.694 Ga
0.500 0.500 0.890 Ga
0.000 0.000 0.208 Ni
0.000 0.000 0.403 Ni
0.000 0.000 0.597 Ni
0.000 0.000 0.792 Ni
0.000 0.000 0.000 Ir
```

=====

Ga6Ni5Ir: optimized geometry, PBE-GGA.

The density of states at the Fermi level is 6.98 states/eV/f.u. As for the space group: C2/m. The total energy is -0.3687 Ry/atom. For the formation enthalpy at 0 K, the calculation gives -0.355 eV per atom. The calculation puts the polymorph energy (0 for the lowest one) at 0.000 eV per atom. Its volume is 12.81 Å³/atom.

The structure in POSCAR format:
```
Ga6Ni5Ir
1.0
4.040 0.054 -1.106
-0.803 5.150 -2.682
0.027 0.390 7.146
Ni Ir Ga
5 1 6
direct
0.646 0.162 0.325 Ni
0.353 0.331 0.664 Ni
0.000 0.500 0.000 Ni
0.647 0.669 0.336 Ni
0.354 0.838 0.675 Ni
0.000 0.000 0.000 Ir
0.842 0.573 0.658 Ga
0.842 0.085 0.658 Ga
0.500 0.738 0.000 Ga
0.500 0.262 0.000 Ga
0.158 0.915 0.342 Ga
0.158 0.427 0.342 Ga
```

=====

Ga3Ni6Ir: optimized geometry, PBE-GGA.

The density of states at the Fermi level is 10.90 states/eV/f.u. As for the space group: P2_1/m. The total energy is -0.4040 Ry/atom. For the formation enthalpy at 0 K, the calculation gives -0.233 eV per atom. Its volume is 12.14 Å³/atom.

The structure in POSCAR format:
```
Ga3Ni6Ir
1.0
-1.312 -3.403 -0.890
0.325 -2.101 7.557
-7.737 2.861 0.467
Ga Ni Ir
6 12 2
direct
0.250 0.547 0.396 Ga
0.750 0.453 0.604 Ga
0.250 0.351 0.808 Ga
0.750 0.649 0.192 Ga
0.250 0.762 0.978 Ga
0.750 0.238 0.022 Ga
0.250 0.451 0.100 Ni
0.750 0.549 0.900 Ni
0.250 0.147 0.207 Ni
0.750 0.853 0.793 Ni
0.250 0.647 0.694 Ni
0.750 0.353 0.306 Ni
0.250 0.260 0.506 Ni
0.750 0.740 0.494 Ni
0.250 0.839 0.290 Ni
0.750 0.161 0.710 Ni
0.250 0.058 0.900 Ni
0.750 0.942 0.100 Ni
0.250 0.952 0.600 Ir
0.750 0.048 0.400 Ir
```

=====

Ga2Ni2Ir: optimized geometry, PBE-GGA.

The density of states at the Fermi level is 6.37 states/eV/f.u. As for the space group: I4/mmm. The total energy is -0.3744 Ry/atom. For the formation enthalpy at 0 K, the calculation gives 0.201 eV per atom. The calculation puts the polymorph energy (0 for the lowest one) at 0.417 eV per atom. Its volume is 13.88 Å³/atom.

The structure in POSCAR format:
```
Ga2Ni2Ir
1.0
-0.789 1.487 -3.141
1.119 -2.940 -1.673
-4.881 -2.808 -2.124
Ni Ir Ga
2 1 2
direct
0.398 0.398 0.204 Ni
0.602 0.602 0.796 Ni
0.000 0.000 0.000 Ir
0.750 0.250 0.500 Ga
0.250 0.750 0.500 Ga
```

=====

GaNiIr: optimized geometry, PBE-GGA.

The density of states at the Fermi level is 2.78 states/eV/f.u. As for the space group: P2_1/m. The total energy is -0.4478 Ry/atom. For the formation enthalpy at 0 K, the calculation gives -0.203 eV per atom. Its volume is 13.47 Å³/atom.

The structure in POSCAR format:
```
GaNiIr
1.0
-2.675 0.532 3.468
3.382 -0.299 2.654
1.828 3.953 -1.885
Ga Ni Ir
2 2 2
direct
0.463 0.250 0.287 Ga
0.537 0.750 0.713 Ga
0.842 0.250 0.025 Ni
0.158 0.750 0.975 Ni
0.164 0.250 0.657 Ir
0.836 0.750 0.343 Ir
```

=====

Ga6NiIr2: optimized geometry, PBE-GGA.

The density of states at the Fermi level is 3.17 states/eV/f.u. As for the space group: P2_1/c. The total energy is -0.3605 Ry/atom. For the formation enthalpy at 0 K, the calculation gives -0.276 eV per atom. Its volume is 16.60 Å³/atom.

The structure in POSCAR format:
```
Ga6NiIr2
1.0
6.139 0.000 0.446
0.000 6.522 0.000
-0.147 0.000 7.451
Ga Ni Ir
12 2 4
direct
0.831 0.995 0.219 Ga
0.857 0.660 0.578 Ga
0.854 0.655 0.944 Ga
0.646 0.155 0.556 Ga
0.643 0.160 0.922 Ga
0.669 0.495 0.281 Ga
0.169 0.005 0.781 Ga
0.143 0.340 0.422 Ga
0.146 0.345 0.056 Ga
0.354 0.845 0.444 Ga
0.357 0.840 0.078 Ga
0.331 0.505 0.719 Ga
0.500 0.500 0.000 Ni
0.000 0.000 0.500 Ni
0.964 0.330 0.745 Ir
0.536 0.830 0.755 Ir
0.464 0.170 0.245 Ir
0.036 0.670 0.255 Ir
```

=====

GaNiIr: optimized geometry, PBE-GGA.

The density of states at the Fermi level is 2.27 states/eV/f.u. As for the space group: P2_1/m. The total energy is -0.4478 Ry/atom. For the formation enthalpy at 0 K, the calculation gives -0.203 eV per atom. Its volume is 13.39 Å³/atom.

The structure in POSCAR format:
```
GaNiIr
1.0
3.657 0.000 -0.110
0.000 3.800 0.000
-1.294 0.000 5.820
Ir Ga Ni
2 2 2
direct
0.369 0.250 0.823 Ir
0.631 0.750 0.177 Ir
0.122 0.250 0.194 Ga
0.878 0.750 0.806 Ga
0.747 0.250 0.496 Ni
0.253 0.750 0.504 Ni
```

=====

Ga2Ni3Ir: optimized geometry, PBE-GGA.

The density of states at the Fermi level is 5.87 states/eV/f.u. As for the space group: P2/m. The total energy is -0.4149 Ry/atom. For the formation enthalpy at 0 K, the calculation gives -0.268 eV per atom. The calculation puts the polymorph energy (0 for the lowest one) at 0.000 eV per atom. Its volume is 12.59 Å³/atom.

The structure in POSCAR format:
```
Ga2Ni3Ir
1.0
-4.019 1.813 -0.130
-1.596 -3.794 -3.576
-0.047 -2.241 6.558
Ga Ni Ir
4 6 2
direct
0.274 0.338 0.675 Ga
0.726 0.162 0.324 Ga
0.274 0.838 0.676 Ga
0.726 0.662 0.325 Ga
0.500 0.250 0.000 Ni
0.500 0.750 0.000 Ni
0.755 0.077 0.654 Ni
0.245 0.423 0.346 Ni
0.245 0.923 0.346 Ni
0.755 0.577 0.654 Ni
0.000 0.500 0.000 Ir
0.000 0.000 0.000 Ir
```

=====

Ga4NiIr: optimized geometry, PBE-GGA.

The density of states at the Fermi level is 3.09 states/eV/f.u. As for the space group: I4_1/amd. The total energy is -0.3350 Ry/atom. For the formation enthalpy at 0 K, the calculation gives -0.100 eV per atom. Its volume is 18.99 Å³/atom.

The structure in POSCAR format:
```
Ga4NiIr
1.0
-4.469 0.481 5.348
-0.512 -2.643 -6.446
4.482 -4.613 2.726
Ga Ni Ir
8 2 2
direct
0.110 0.870 0.240 Ga
0.630 0.870 0.760 Ga
0.620 0.880 0.260 Ga
0.640 0.380 0.260 Ga
0.620 0.360 0.740 Ga
0.130 0.370 0.240 Ga
0.120 0.380 0.740 Ga
0.130 0.890 0.760 Ga
0.000 0.000 0.000 Ni
0.750 0.250 0.500 Ni
0.250 0.750 0.500 Ir
0.500 0.500 0.000 Ir
```

=====

GaNiIr: optimized geometry, PBE-GGA.

The density of states at the Fermi level is 3.44 states/eV/f.u. As for the space group: P1. The total energy is -0.4474 Ry/atom. For the formation enthalpy at 0 K, the calculation gives -0.197 eV per atom. Its volume is 13.33 Å³/atom.

The structure in POSCAR format:
```
GaNiIr
1.0
-3.564 0.356 2.572
0.555 -0.515 4.603
0.409 4.196 2.381
Ga Ni Ir
2 2 2
direct
0.914 0.221 0.453 Ga
0.478 0.417 0.941 Ga
0.837 0.722 0.911 Ni
0.252 0.518 0.480 Ni
0.155 0.036 0.974 Ir
0.595 0.888 0.410 Ir
```

=====

Ga6Ni3Ir: optimized geometry, PBE-GGA.

The density of states at the Fermi level is 3.54 states/eV/f.u. As for the space group: P2_1/c. The total energy is -0.3409 Ry/atom. For the formation enthalpy at 0 K, the calculation gives -0.202 eV per atom. Its volume is 15.41 Å³/atom.

The structure in POSCAR format:
```
Ga6Ni3Ir
1.0
6.602 0.000 0.300
0.000 6.075 0.000
0.463 0.000 7.703
Ga Ni Ir
12 6 2
direct
0.656 0.140 0.941 Ga
0.661 0.151 0.591 Ga
0.730 0.477 0.224 Ga
0.270 0.523 0.776 Ga
0.339 0.849 0.409 Ga
0.344 0.860 0.059 Ga
0.156 0.360 0.441 Ga
0.161 0.349 0.091 Ga
0.230 0.023 0.724 Ga
0.770 0.977 0.276 Ga
0.839 0.651 0.909 Ga
0.844 0.640 0.559 Ga
0.538 0.814 0.760 Ni
0.500 0.500 0.000 Ni
0.462 0.186 0.240 Ni
0.038 0.686 0.260 Ni
0.000 0.000 0.500 Ni
0.962 0.314 0.740 Ni
0.500 0.500 0.500 Ir
0.000 0.000 0.000 Ir
```